--- 1 ---
# BaMo2Rh (SCAN, PBEsol geometry)
data_BaMo2Rh
_chemical_formula_sum 'Ba1 Mo2 Rh1'
_cell_length_a 3.143
_cell_length_b 4.732
_cell_length_c 6.261
_cell_angle_alpha 90.00
_cell_angle_beta 104.15
_cell_angle_gamma 90.00
_space_group_name_H-M_alt 'P 1 2/m 1'
_space_group_IT_number 10
loop_
_space_group_symop_operation_xyz
'x,y,z'
'-x,-y,-z'
'-x,y,-z'
'x,-y,z'
loop_
_atom_site_label
_atom_site_fract_x
_atom_site_fract_y
_atom_site_fract_z
_atom_site_occupancy
Ba1 0.000 0.000 0.000 1
Mo1 0.297 0.500 0.640 1
Rh1 0.500 0.000 0.500 1
# density of states at the Fermi level = 2.96 states/eV per cell

---

--- 2 ---
# BaMo2Rh (SCAN, PBEsol geometry)
data_BaMo2Rh
_chemical_formula_sum 'Ba1 Mo2 Rh1'
_cell_length_a 3.199
_cell_length_b 3.199
_cell_length_c 7.833
_cell_angle_alpha 90.00
_cell_angle_beta 90.00
_cell_angle_gamma 90.00
_space_group_name_H-M_alt 'P 4 m m'
_space_group_IT_number 99
loop_
_space_group_symop_operation_xyz
'x,y,z'
'-y,x,z'
'-x,-y,z'
'y,-x,z'
'-x,y,z'
'y,x,z'
'x,-y,z'
'-y,-x,z'
loop_
_atom_site_label
_atom_site_fract_x
_atom_site_fract_y
_atom_site_fract_z
_atom_site_occupancy
Ba1 0.000 0.000 0.000 1
Mo1 0.000 0.000 0.501 1
Mo2 0.500 0.500 0.337 1
Rh1 0.500 0.500 0.691 1
# density of states at the Fermi level = 6.05 states/eV per cell

---

Which one sits at the bottom of the stability order? 1 does.

---

--- 1 ---
# BaMoRu2 (SCAN, PBEsol geometry)
data_BaMoRu2
_chemical_formula_sum 'Ba1 Mo1 Ru2'
_cell_length_a 2.902
_cell_length_b 3.677
_cell_length_c 7.533
_cell_angle_alpha 90.00
_cell_angle_beta 90.00
_cell_angle_gamma 90.00
_space_group_name_H-M_alt 'P m m 2'
_space_group_IT_number 25
loop_
_space_group_symop_operation_xyz
'x,y,z'
'-x,-y,z'
'-x,y,z'
'x,-y,z'
loop_
_atom_site_label
_atom_site_fract_x
_atom_site_fract_y
_atom_site_fract_z
_atom_site_occupancy
Ba1 0.000 0.000 0.000 1
Mo1 0.500 0.500 0.363 1
Ru1 0.000 0.000 0.508 1
Ru2 0.500 0.500 0.686 1
# density of states at the Fermi level = 4.29 states/eV per cell

---

--- 2 ---
# BaMoRu2 (SCAN, PBEsol geometry)
data_BaMoRu2
_chemical_formula_sum 'Ba3 Mo3 Ru6'
_cell_length_a 4.2938
_cell_length_b 4.2938
_cell_length_c 17.8646
_cell_angle_alpha 90.00
_cell_angle_beta 90.00
_cell_angle_gamma 120.00
_space_group_name_H-M_alt 'R 3 m'
_space_group_IT_number 160
_space_group_name_Hall 'R 3 -2"'
loop_
_atom_site_label
_atom_site_fract_x
_atom_site_fract_y
_atom_site_fract_z
_atom_site_occupancy
Ba1 0.0000 0.0000 0.0000 1
Mo1 0.0000 0.0000 0.1913 1
Ru1 0.0000 0.0000 0.4854 1
Ru2 0.0000 0.0000 0.8122 1
# density of states at the Fermi level = 8.80 states/eV per cell

---

Which one sits at the bottom of the stability order? 1 does.

---

--- 1 ---
# Ba2MoRu (SCAN, PBEsol geometry)
data_Ba2MoRu
_chemical_formula_sum 'Ba2 Mo1 Ru1'
_cell_length_a 4.523
_cell_length_b 4.523
_cell_length_c 4.906
_cell_angle_alpha 90.00
_cell_angle_beta 90.00
_cell_angle_gamma 90.00
_space_group_name_H-M_alt 'P 4/m m m'
_space_group_IT_number 123
_space_group_name_Hall '-P 4 2'
loop_
_atom_site_label
_atom_site_fract_x
_atom_site_fract_y
_atom_site_fract_z
_atom_site_occupancy
Ba1 0.000 0.500 0.000 1
Mo1 0.000 0.000 0.500 1
Ru1 0.500 0.500 0.500 1
# density of states at the Fermi level = 2.22 states/eV per cell

---

--- 2 ---
# Ba2MoRu (SCAN, PBEsol geometry)
data_Ba2MoRu
_chemical_formula_sum 'Ba4 Mo2 Ru2'
_cell_length_a 10.059
_cell_length_b 3.134
_cell_length_c 5.958
_cell_angle_alpha 90.00
_cell_angle_beta 94.82
_cell_angle_gamma 90.00
_space_group_name_H-M_alt 'C 1 2/m 1'
_space_group_IT_number 12
loop_
_space_group_symop_operation_xyz
'x,y,z'
'-x,-y,-z'
'-x,y,-z'
'x,-y,z'
'x+1/2,y+1/2,z'
'-x+1/2,-y+1/2,-z'
'-x+1/2,y+1/2,-z'
'x+1/2,-y+1/2,z'
loop_
_atom_site_label
_atom_site_fract_x
_atom_site_fract_y
_atom_site_fract_z
_atom_site_occupancy
Ba1 0.246 0.000 0.244 1
Mo1 0.000 0.500 0.500 1
Ru1 0.000 0.000 0.000 1
# density of states at the Fermi level = 7.42 states/eV per cell

---

Which one sits at the bottom of the stability order? 2 does.

---

--- 1 ---
# BaMoS2 (SCAN, PBEsol geometry)
data_BaMoS2
_chemical_formula_sum 'Ba3 Mo3 S6'
_cell_length_a 4.8105
_cell_length_b 4.8105
_cell_length_c 22.0883
_cell_angle_alpha 90.00
_cell_angle_beta 90.00
_cell_angle_gamma 120.00
_space_group_name_H-M_alt 'R -3 m'
_space_group_IT_number 166
_space_group_name_Hall '-R 3 2"'
loop_
_atom_site_label
_atom_site_fract_x
_atom_site_fract_y
_atom_site_fract_z
_atom_site_occupancy
Ba1 0.0000 0.0000 0.0000 1
Mo1 0.0000 0.0000 0.5000 1
S1 0.0000 0.0000 0.3969 1
# density of states at the Fermi level = 11.61 states/eV per cell

---

--- 2 ---
# BaMoS2 (SCAN, PBEsol geometry)
data_BaMoS2
_chemical_formula_sum 'Ba4 Mo4 S8'
_cell_length_a 5.836
_cell_length_b 5.836
_cell_length_c 12.622
_cell_angle_alpha 90.00
_cell_angle_beta 90.00
_cell_angle_gamma 90.00
_space_group_name_H-M_alt 'I -4 2 d'
_space_group_IT_number 122
_space_group_name_Hall 'I -4 2bw'
loop_
_atom_site_label
_atom_site_fract_x
_atom_site_fract_y
_atom_site_fract_z
_atom_site_occupancy
Ba1 0.000 0.000 0.000 1
Mo1 0.000 0.000 0.500 1
S1 0.126 0.250 0.625 1
# density of states at the Fermi level = 9.13 states/eV per cell

---

Which one sits at the bottom of the stability order? 1 does.

---

--- 1 ---
# BaSb2Mo (SCAN, PBEsol geometry)
data_BaSb2Mo
_chemical_formula_sum 'Ba1 Sb2 Mo1'
_cell_length_a 5.689
_cell_length_b 5.689
_cell_length_c 3.287
_cell_angle_alpha 90.00
_cell_angle_beta 90.00
_cell_angle_gamma 90.00
_space_group_name_H-M_alt 'P 4/m m m'
_space_group_IT_number 123
_space_group_name_Hall '-P 4 2'
loop_
_atom_site_label
_atom_site_fract_x
_atom_site_fract_y
_atom_site_fract_z
_atom_site_occupancy
Ba1 0.000 0.000 0.000 1
Sb1 0.000 0.500 0.500 1
Mo1 0.500 0.500 0.000 1
# density of states at the Fermi level = 2.62 states/eV per cell

---

--- 2 ---
# BaSb2Mo (SCAN, PBEsol geometry)
data_BaSb2Mo
_chemical_formula_sum 'Ba3 Sb6 Mo3'
_cell_length_a 4.2362
_cell_length_b 4.2362
_cell_length_c 22.1197
_cell_angle_alpha 90.00
_cell_angle_beta 90.00
_cell_angle_gamma 120.00
_space_group_name_H-M_alt 'R -3 m'
_space_group_IT_number 166
_space_group_name_Hall '-R 3 2"'
loop_
_atom_site_label
_atom_site_fract_x
_atom_site_fract_y
_atom_site_fract_z
_atom_site_occupancy
Ba1 0.0000 0.0000 0.0000 1
Sb1 0.0000 0.0000 0.2268 1
Mo1 0.0000 0.0000 0.5000 1
# density of states at the Fermi level = 6.46 states/eV per cell

---

Which one sits at the bottom of the stability order? 1 does.

---

--- 1 ---
# BaSb2Mo (SCAN, PBEsol geometry)
data_BaSb2Mo
_chemical_formula_sum 'Ba1 Sb2 Mo1'
_cell_length_a 3.233
_cell_length_b 4.285
_cell_length_c 8.163
_cell_angle_alpha 90.00
_cell_angle_beta 90.00
_cell_angle_gamma 90.00
_space_group_name_H-M_alt 'P m m 2'
_space_group_IT_number 25
loop_
_space_group_symop_operation_xyz
'x,y,z'
'-x,-y,z'
'-x,y,z'
'x,-y,z'
loop_
_atom_site_label
_atom_site_fract_x
_atom_site_fract_y
_atom_site_fract_z
_atom_site_occupancy
Ba1 0.000 0.000 0.000 1
Sb1 0.000 0.000 0.413 1
Sb2 0.500 0.500 0.734 1
Mo1 0.500 0.500 0.397 1
# density of states at the Fermi level = 2.90 states/eV per cell

---

--- 2 ---
# BaSb2Mo (SCAN, PBEsol geometry)
data_BaSb2Mo
_chemical_formula_sum 'Ba4 Sb8 Mo4'
_cell_length_a 7.341
_cell_length_b 7.341
_cell_length_c 7.341
_cell_angle_alpha 90.00
_cell_angle_beta 90.00
_cell_angle_gamma 90.00
_space_group_name_H-M_alt 'F m -3 m'
_space_group_IT_number 225
_space_group_name_Hall '-F 4 2 3'
loop_
_atom_site_label
_atom_site_fract_x
_atom_site_fract_y
_atom_site_fract_z
_atom_site_occupancy
Ba1 0.000 0.000 0.000 1
Sb1 0.250 0.250 0.250 1
Mo1 0.000 0.000 0.500 1
# density of states at the Fermi level = 9.82 states/eV per cell

---

Which one sits at the bottom of the stability order? 2 does.

---

--- 1 ---
# BaSc2Mo (SCAN, PBEsol geometry)
data_BaSc2Mo
_chemical_formula_sum 'Ba2 Sc4 Mo2'
_cell_length_a 6.311
_cell_length_b 8.750
_cell_length_c 3.267
_cell_angle_alpha 90.00
_cell_angle_beta 90.00
_cell_angle_gamma 90.00
_space_group_name_H-M_alt 'C m m m'
_space_group_IT_number 65
_space_group_name_Hall '-C 2 2'
loop_
_atom_site_label
_atom_site_fract_x
_atom_site_fract_y
_atom_site_fract_z
_atom_site_occupancy
Ba1 0.000 0.000 0.000 1
Sc1 0.250 0.250 0.500 1
Mo1 0.000 0.500 0.000 1
# density of states at the Fermi level = 10.10 states/eV per cell

---

--- 2 ---
# BaSc2Mo (SCAN, PBEsol geometry)
data_BaSc2Mo
_chemical_formula_sum 'Ba1 Sc2 Mo1'
_cell_length_a 3.643
_cell_length_b 3.643
_cell_length_c 8.042
_cell_angle_alpha 90.00
_cell_angle_beta 90.00
_cell_angle_gamma 90.00
_space_group_name_H-M_alt 'P 4 m m'
_space_group_IT_number 99
loop_
_space_group_symop_operation_xyz
'x,y,z'
'-y,x,z'
'-x,-y,z'
'y,-x,z'
'-x,y,z'
'y,x,z'
'x,-y,z'
'-y,-x,z'
loop_
_atom_site_label
_atom_site_fract_x
_atom_site_fract_y
_atom_site_fract_z
_atom_site_occupancy
Ba1 0.000 0.000 0.000 1
Sc1 0.000 0.000 0.414 1
Sc2 0.500 0.500 0.627 1
Mo1 0.500 0.500 0.293 1
# density of states at the Fermi level = 3.61 states/eV per cell

---

--- 3 ---
# BaSc2Mo (SCAN, PBEsol geometry)
data_BaSc2Mo
_chemical_formula_sum 'Ba4 Sc8 Mo4'
_cell_length_a 7.196
_cell_length_b 7.196
_cell_length_c 7.196
_cell_angle_alpha 90.00
_cell_angle_beta 90.00
_cell_angle_gamma 90.00
_space_group_name_H-M_alt 'F -4 3 m'
_space_group_IT_number 216
_space_group_name_Hall 'F -4 2 3'
loop_
_atom_site_label
_atom_site_fract_x
_atom_site_fract_y
_atom_site_fract_z
_atom_site_occupancy
Ba1 0.000 0.000 0.000 1
Sc1 0.000 0.000 0.500 1
Sc2 0.250 0.250 0.250 1
Mo1 0.250 0.250 0.750 1
# density of states at the Fermi level = 18.43 states/eV per cell

---

Which one sits at the bottom of the stability order? 3 does.